# 1
# Pm6DyY4, relaxed, DFT GGA-PBE
# - calculated volume (Å³ per atom) = 33.553
# - N(E_F) (states/eV per atom) = 1.7586
# - DFT total energy (eV per formula unit) = -57.69
# - spin magnetization (μB/cell) = 0.0
# - energy above the most stable polymorph in this dataset (meV/atom) = 0.0
data_Pm6DyY4
_chemical_formula_sum 'Pm24 Dy4 Y16'
_cell_length_a 5.8558
_cell_length_b 9.7356
_cell_length_c 25.8964
_cell_angle_alpha 90.00
_cell_angle_beta 90.00
_cell_angle_gamma 90.00
_space_group_name_H-M_alt 'C m c m'
_space_group_IT_number 63
_space_group_name_Hall '-C 2c 2'
loop_
_atom_site_label
_atom_site_fract_x
_atom_site_fract_y
_atom_site_fract_z
Pm1 0.0000 0.0000 0.0000
Pm2 0.0000 0.0479 0.2500
Pm3 0.0000 0.3017 0.6024
Pm4 0.0000 0.3744 0.1828
Dy1 0.0000 0.2898 0.7500
Y1 0.0000 0.0396 0.1238
Y2 0.0000 0.3492 0.0441

# 2
# PmDy5Y2, relaxed, DFT GGA-PBE
# - calculated volume (Å³ per atom) = 32.409
# - N(E_F) (states/eV per atom) = 1.4804
# - DFT total energy (eV per formula unit) = -39.46
# - spin magnetization (μB/cell) = 0.0
data_PmDy5Y2
_chemical_formula_sum 'Pm4 Dy20 Y8'
_cell_length_a 6.6464
_cell_length_b 16.4375
_cell_length_c 9.5320
_cell_angle_alpha 90.00
_cell_angle_beta 95.20
_cell_angle_gamma 90.00
_space_group_name_H-M_alt 'C 1 2/c 1'
_space_group_IT_number 15
loop_
_space_group_symop_operation_xyz
'x,y,z'
'-x,-y,-z'
'-x,y,-z+1/2'
'x,-y,z+1/2'
'x+1/2,y+1/2,z'
'-x+1/2,-y+1/2,-z'
'-x+1/2,y+1/2,-z+1/2'
'x+1/2,-y+1/2,z+1/2'
loop_
_atom_site_label
_atom_site_fract_x
_atom_site_fract_y
_atom_site_fract_z
Pm1 0.0000 0.0619 0.2500
Dy1 0.0000 0.3393 0.7500
Dy2 0.0507 0.2462 0.4105
Dy3 0.1751 0.1252 0.8891
Y1 0.1747 0.4455 0.4216

# 3
# Pm3Dy4Y, relaxed, DFT GGA-PBE
# - calculated volume (Å³ per atom) = 33.331
# - N(E_F) (states/eV per atom) = 1.8094
# - DFT total energy (eV per formula unit) = -37.87
# - spin magnetization (μB/cell) = 0.0
# - energy above the most stable polymorph in this dataset (meV/atom) = 138.1
data_Pm3Dy4Y
_chemical_formula_sum 'Pm6 Dy8 Y2'
_cell_length_a 23.5882
_cell_length_b 3.4941
_cell_length_c 6.7506
_cell_angle_alpha 90.00
_cell_angle_beta 106.56
_cell_angle_gamma 90.00
_space_group_name_H-M_alt 'C 1 2/m 1'
_space_group_IT_number 12
loop_
_space_group_symop_operation_xyz
'x,y,z'
'-x,-y,-z'
'-x,y,-z'
'x,-y,z'
'x+1/2,y+1/2,z'
'-x+1/2,-y+1/2,-z'
'-x+1/2,y+1/2,-z'
'x+1/2,-y+1/2,z'
loop_
_atom_site_label
_atom_site_fract_x
_atom_site_fract_y
_atom_site_fract_z
Pm1 0.0000 0.0000 0.0000
Pm2 0.1265 0.0000 0.8715
Dy1 0.1249 0.0000 0.3839
Dy2 0.2403 0.5000 0.7333
Y1 0.0000 0.5000 0.5000

# 4
# Pm7Dy4Y, relaxed, DFT GGA-PBE
# - calculated volume (Å³ per atom) = 33.404
# - N(E_F) (states/eV per atom) = 1.3895
# - DFT total energy (eV per formula unit) = -58.06
# - spin magnetization (μB/cell) = 0.0
# - energy above the most stable polymorph in this dataset (meV/atom) = 0.0
data_Pm7Dy4Y
_chemical_formula_sum 'Pm7 Dy4 Y1'
_cell_length_a 6.3103
_cell_length_b 7.2811
_cell_length_c 8.9782
_cell_angle_alpha 90.01
_cell_angle_beta 103.66
_cell_angle_gamma 90.04
_space_group_name_H-M_alt 'P -1'
_space_group_IT_number 2
loop_
_space_group_symop_operation_xyz
'x,y,z'
'-x,-y,-z'
loop_
_atom_site_label
_atom_site_fract_x
_atom_site_fract_y
_atom_site_fract_z
Pm1 0.0000 0.0000 0.0000
Pm2 0.2219 0.4999 0.6656
Pm3 0.2804 0.7511 0.3350
Pm4 0.4996 0.2473 0.0012
Dy1 0.2197 0.9999 0.6658
Dy2 0.2782 0.2481 0.3329
Y1 0.0000 0.5000 0.0000

# 5
# Pm3Dy4Y, relaxed, DFT GGA-PBE
# - calculated volume (Å³ per atom) = 33.113
# - N(E_F) (states/eV per atom) = 1.7608
# - DFT total energy (eV per formula unit) = -38.97
# - spin magnetization (μB/cell) = 0.0
# - energy above the most stable polymorph in this dataset (meV/atom) = 0.0
data_Pm3Dy4Y
_chemical_formula_sum 'Pm6 Dy8 Y2'
_cell_length_a 11.4550
_cell_length_b 7.3220
_cell_length_c 6.3167
_cell_angle_alpha 90.00
_cell_angle_beta 90.00
_cell_angle_gamma 90.00
_space_group_name_H-M_alt 'P m n 21'
_space_group_IT_number 31
loop_
_space_group_symop_operation_xyz
'x,y,z'
'-x+1/2,-y,z+1/2'
'-x,y,z'
'x+1/2,-y,z+1/2'
loop_
_atom_site_label
_atom_site_fract_x
_atom_site_fract_y
_atom_site_fract_z
Pm1 0.0000 0.1275 0.0000
Pm2 0.2503 0.1268 0.3347
Dy1 0.0000 0.3767 0.5003
Dy2 0.0000 0.6216 0.0001
Dy3 0.2490 0.6224 0.3322
Y1 0.0000 0.8718 0.4989

# 6
# Pm8Dy5Y, relaxed, DFT GGA-PBE
# - calculated volume (Å³ per atom) = 34.362
# - N(E_F) (states/eV per atom) = 1.4843
# - DFT total energy (eV per formula unit) = -63.98
# - spin magnetization (μB/cell) = 0.0
data_Pm8Dy5Y
_chemical_formula_sum 'Pm16 Dy10 Y2'
_cell_length_a 9.6759
_cell_length_b 9.6759
_cell_length_c 10.2766
_cell_angle_alpha 90.00
_cell_angle_beta 90.00
_cell_angle_gamma 90.00
_space_group_name_H-M_alt 'I -4'
_space_group_IT_number 82
loop_
_space_group_symop_operation_xyz
'x,y,z'
'y,-x,-z'
'-x,-y,z'
'-y,x,-z'
'x+1/2,y+1/2,z+1/2'
'y+1/2,-x+1/2,-z+1/2'
'-x+1/2,-y+1/2,z+1/2'
'-y+1/2,x+1/2,-z+1/2'
loop_
_atom_site_label
_atom_site_fract_x
_atom_site_fract_y
_atom_site_fract_z
Pm1 0.0697 0.1741 0.1534
Pm2 0.0880 0.3232 0.4963
Dy1 0.0000 0.5000 0.2500
Dy2 0.1086 0.2937 0.8232
Y1 0.0000 0.0000 0.5000

# 7
# Pm2Dy2Y7, relaxed, DFT GGA-PBE
# - calculated volume (Å³ per atom) = 33.223
# - N(E_F) (states/eV per atom) = 1.6464
# - DFT total energy (eV per formula unit) = -62.22
# - spin magnetization (μB/cell) = 0.0
# - energy above the most stable polymorph in this dataset (meV/atom) = 51.3
data_Pm2Dy2Y7
_chemical_formula_sum 'Pm4 Dy4 Y14'
_cell_length_a 11.2083
_cell_length_b 11.6651
_cell_length_c 6.0800
_cell_angle_alpha 90.00
_cell_angle_beta 113.15
_cell_angle_gamma 90.00
_space_group_name_H-M_alt 'C 1 2/m 1'
_space_group_IT_number 12
loop_
_space_group_symop_operation_xyz
'x,y,z'
'-x,-y,-z'
'-x,y,-z'
'x,-y,z'
'x+1/2,y+1/2,z'
'-x+1/2,-y+1/2,-z'
'-x+1/2,y+1/2,-z'
'x+1/2,-y+1/2,z'
loop_
_atom_site_label
_atom_site_fract_x
_atom_site_fract_y
_atom_site_fract_z
Pm1 0.0000 0.2125 0.0000
Dy1 0.2318 0.0000 0.0839
Y1 0.0000 0.0000 0.5000
Y2 0.0916 0.5000 0.3054
Y3 0.1731 0.2383 0.6766

# 8
# Pm2Dy2Y5, relaxed, DFT GGA-PBE
# - calculated volume (Å³ per atom) = 32.471
# - N(E_F) (states/eV per atom) = 1.4618
# - DFT total energy (eV per formula unit) = -50.85
# - spin magnetization (μB/cell) = 0.0
# - energy above the most stable polymorph in this dataset (meV/atom) = 0.0
data_Pm2Dy2Y5
_chemical_formula_sum 'Pm2 Dy2 Y5'
_cell_length_a 6.1950
_cell_length_b 6.2087
_cell_length_c 8.0063
_cell_angle_alpha 82.61
_cell_angle_beta 75.06
_cell_angle_gamma 80.47
_space_group_name_H-M_alt 'P -1'
_space_group_IT_number 2
loop_
_space_group_symop_operation_xyz
'x,y,z'
'-x,-y,-z'
loop_
_atom_site_label
_atom_site_fract_x
_atom_site_fract_y
_atom_site_fract_z
Pm1 0.0547 0.1112 0.2772
Dy1 0.1663 0.3337 0.8344
Y1 0.2774 0.5555 0.3892
Y2 0.3875 0.7776 0.9448
Y3 0.5000 0.0000 0.5000

# 9
# Pm5DyY3, relaxed, DFT GGA-PBE
# - calculated volume (Å³ per atom) = 33.831
# - N(E_F) (states/eV per atom) = 1.4395
# - DFT total energy (eV per formula unit) = -46.27
# - spin magnetization (μB/cell) = 0.0
# - energy above the most stable polymorph in this dataset (meV/atom) = 0.0
data_Pm5DyY3
_chemical_formula_sum 'Pm20 Dy4 Y12'
_cell_length_a 16.4279
_cell_length_b 6.7835
_cell_length_c 11.6496
_cell_angle_alpha 90.00
_cell_angle_beta 110.26
_cell_angle_gamma 90.00
_space_group_name_H-M_alt 'C 1 2/c 1'
_space_group_IT_number 15
loop_
_space_group_symop_operation_xyz
'x,y,z'
'-x,-y,-z'
'-x,y,-z+1/2'
'x,-y,z+1/2'
'x+1/2,y+1/2,z'
'-x+1/2,-y+1/2,-z'
'-x+1/2,y+1/2,-z+1/2'
'x+1/2,-y+1/2,z+1/2'
loop_
_atom_site_label
_atom_site_fract_x
_atom_site_fract_y
_atom_site_fract_z
Pm1 0.0000 0.1851 0.2500
Pm2 0.1102 0.0032 0.5495
Pm3 0.1713 0.4097 0.3478
Dy1 0.0000 0.2616 0.7500
Y1 0.0000 0.5000 0.0000
Y2 0.2393 0.0985 0.8703

# 10
# Pm9Dy2Y, relaxed, DFT GGA-PBE
# - calculated volume (Å³ per atom) = 33.710
# - N(E_F) (states/eV per atom) = 1.6110
# - DFT total energy (eV per formula unit) = -58.23
# - spin magnetization (μB/cell) = 0.0
data_Pm9Dy2Y
_chemical_formula_sum 'Pm9 Dy2 Y1'
_cell_length_a 5.1285
_cell_length_b 5.1285
_cell_length_c 15.3802
_cell_angle_alpha 90.00
_cell_angle_beta 90.00
_cell_angle_gamma 90.00
_space_group_name_H-M_alt 'P 4/m m m'
_space_group_IT_number 123
_space_group_name_Hall '-P 4 2'
loop_
_atom_site_label
_atom_site_fract_x
_atom_site_fract_y
_atom_site_fract_z
Pm1 0.0000 0.0000 0.0000
Pm2 0.0000 0.0000 0.3338
Pm3 0.0000 0.5000 0.1674
Pm4 0.0000 0.5000 0.5000
Dy1 0.5000 0.5000 0.3335
Y1 0.5000 0.5000 0.0000

# 11
# Pm3Dy6Y2, relaxed, DFT GGA-PBE
# - calculated volume (Å³ per atom) = 34.351
# - N(E_F) (states/eV per atom) = 1.5994
# - DFT total energy (eV per formula unit) = -51.74
# - spin magnetization (μB/cell) = 0.0
# - energy above the most stable polymorph in this dataset (meV/atom) = 261.9
data_Pm3Dy6Y2
_chemical_formula_sum 'Pm6 Dy12 Y4'
_cell_length_a 4.7522
_cell_length_b 4.7522
_cell_length_c 33.4644
_cell_angle_alpha 90.00
_cell_angle_beta 90.00
_cell_angle_gamma 90.00
_space_group_name_H-M_alt 'I 4/m m m'
_space_group_IT_number 139
_space_group_name_Hall '-I 4 2'
loop_
_atom_site_label
_atom_site_fract_x
_atom_site_fract_y
_atom_site_fract_z
Pm1 0.0000 0.0000 0.0000
Pm2 0.0000 0.0000 0.2021
Dy1 0.0000 0.0000 0.3049
Dy2 0.0000 0.5000 0.1215
Y1 0.0000 0.0000 0.4537

# 12
# Pm2Dy8Y, relaxed, DFT GGA-PBE
# - calculated volume (Å³ per atom) = 32.723
# - N(E_F) (states/eV per atom) = 1.3912
# - DFT total energy (eV per formula unit) = -51.09
# - spin magnetization (μB/cell) = 0.0
# - energy above the most stable polymorph in this dataset (meV/atom) = 0.0
data_Pm2Dy8Y
_chemical_formula_sum 'Pm4 Dy16 Y2'
_cell_length_a 9.0550
_cell_length_b 16.1742
_cell_length_c 5.9046
_cell_angle_alpha 90.00
_cell_angle_beta 123.65
_cell_angle_gamma 90.00
_space_group_name_H-M_alt 'C 1 2/m 1'
_space_group_IT_number 12
loop_
_space_group_symop_operation_xyz
'x,y,z'
'-x,-y,-z'
'-x,y,-z'
'x,-y,z'
'x+1/2,y+1/2,z'
'-x+1/2,-y+1/2,-z'
'-x+1/2,y+1/2,-z'
'x+1/2,-y+1/2,z'
loop_
_atom_site_label
_atom_site_fract_x
_atom_site_fract_y
_atom_site_fract_z
Pm1 0.0000 0.1924 0.0000
Dy1 0.0000 0.2932 0.5000
Dy2 0.0701 0.0000 0.2950
Dy3 0.2152 0.3832 0.1778
Y1 0.0000 0.5000 0.5000

# 13
# Pm19Dy4Y6, relaxed, DFT GGA-PBE
# - calculated volume (Å³ per atom) = 34.857
# - N(E_F) (states/eV per atom) = 1.4562
# - DFT total energy (eV per formula unit) = -136.81
# - spin magnetization (μB/cell) = 0.0
data_Pm19Dy4Y6
_chemical_formula_sum 'Pm38 Dy8 Y12'
_cell_length_a 12.6447
_cell_length_b 12.6447
_cell_length_c 12.6447
_cell_angle_alpha 90.00
_cell_angle_beta 90.00
_cell_angle_gamma 90.00
_space_group_name_H-M_alt 'I 2 3'
_space_group_IT_number 197
_space_group_name_Hall 'I 2 2 3'
loop_
_atom_site_label
_atom_site_fract_x
_atom_site_fract_y
_atom_site_fract_z
Pm1 0.0000 0.0000 0.0000
Pm2 0.0000 0.0000 0.2569
Pm3 0.0621 0.2816 0.7419
Dy1 0.1809 0.1809 0.1809
Y1 0.0000 0.1263 0.5000

# 14
# Pm6Dy4Y, relaxed, DFT GGA-PBE
# - calculated volume (Å³ per atom) = 33.281
# - N(E_F) (states/eV per atom) = 1.7440
# - DFT total energy (eV per formula unit) = -52.11
# - spin magnetization (μB/cell) = 0.0
data_Pm6Dy4Y
_chemical_formula_sum 'Pm24 Dy16 Y4'
_cell_length_a 5.8644
_cell_length_b 9.6900
_cell_length_c 25.7693
_cell_angle_alpha 90.00
_cell_angle_beta 90.00
_cell_angle_gamma 90.00
_space_group_name_H-M_alt 'C m c m'
_space_group_IT_number 63
_space_group_name_Hall '-C 2c 2'
loop_
_atom_site_label
_atom_site_fract_x
_atom_site_fract_y
_atom_site_fract_z
Pm1 0.0000 0.0000 0.0000
Pm2 0.0000 0.0538 0.2500
Pm3 0.0000 0.2968 0.6022
Pm4 0.0000 0.3800 0.1819
Dy1 0.0000 0.0466 0.1233
Dy2 0.0000 0.3516 0.0438
Y1 0.0000 0.2847 0.7500

# 15
# Pm2Dy6Y5, relaxed, DFT GGA-PBE
# - calculated volume (Å³ per atom) = 32.852
# - N(E_F) (states/eV per atom) = 1.2912
# - DFT total energy (eV per formula unit) = -68.14
# - spin magnetization (μB/cell) = 0.0
data_Pm2Dy6Y5
_chemical_formula_sum 'Pm4 Dy12 Y10'
_cell_length_a 11.6829
_cell_length_b 20.3074
_cell_length_c 3.6002
_cell_angle_alpha 90.00
_cell_angle_beta 90.00
_cell_angle_gamma 90.00
_space_group_name_H-M_alt 'P b a m'
_space_group_IT_number 55
loop_
_space_group_symop_operation_xyz
'x,y,z'
'-x,-y,-z'
'-x,-y,z'
'x,y,-z'
'x+1/2,-y+1/2,-z'
'-x+1/2,y+1/2,z'
'-x+1/2,y+1/2,-z'
'x+1/2,-y+1/2,z'
loop_
_atom_site_label
_atom_site_fract_x
_atom_site_fract_y
_atom_site_fract_z
Pm1 0.1688 0.2150 0.0000
Dy1 0.0612 0.9225 0.0000
Dy2 0.0789 0.6348 0.0000
Dy3 0.1761 0.3703 0.5000
Y1 0.0000 0.5000 0.5000
Y2 0.0908 0.7778 0.5000
Y3 0.1990 0.0531 0.5000

# 16
# Pm12DyY2, relaxed, DFT GGA-PBE
# - calculated volume (Å³ per atom) = 36.169
# - N(E_F) (states/eV per atom) = 1.2949
# - DFT total energy (eV per formula unit) = -69.83
# - spin magnetization (μB/cell) = 0.0
data_Pm12DyY2
_chemical_formula_sum 'Pm24 Dy2 Y4'
_cell_length_a 6.5333
_cell_length_b 6.5333
_cell_length_c 25.4211
_cell_angle_alpha 90.00
_cell_angle_beta 90.00
_cell_angle_gamma 90.00
_space_group_name_H-M_alt 'P 4/n b m'
_space_group_IT_number 125
loop_
_space_group_symop_operation_xyz
'x,y,z'
'-x,-y,-z'
'-y+1/2,x,z'
'y+1/2,-x,-z'
'-x+1/2,-y+1/2,z'
'x+1/2,y+1/2,-z'
'y,-x+1/2,z'
'-y,x+1/2,-z'
'x,-y+1/2,-z'
'-x,y+1/2,z'
'-y+1/2,-x+1/2,-z'
'y+1/2,x+1/2,z'
'-x+1/2,y,-z'
'x+1/2,-y,z'
'y,x,-z'
'-y,-x,z'
loop_
_atom_site_label
_atom_site_fract_x
_atom_site_fract_y
_atom_site_fract_z
Pm1 0.0675 0.5675 0.1148
Pm2 0.0822 0.5822 0.5619
Pm3 0.2500 0.2500 0.2156
Pm4 0.2500 0.2500 0.3382
Dy1 0.2500 0.7500 0.0000
Y1 0.2500 0.7500 0.2733

# 17
# Pm5Dy2Y12, relaxed, DFT GGA-PBE
# - calculated volume (Å³ per atom) = 33.527
# - N(E_F) (states/eV per atom) = 1.3741
# - DFT total energy (eV per formula unit) = -108.32
# - spin magnetization (μB/cell) = 0.0
# - energy above the most stable polymorph in this dataset (meV/atom) = 5.6
data_Pm5Dy2Y12
_chemical_formula_sum 'Pm10 Dy4 Y24'
_cell_length_a 15.6282
_cell_length_b 9.3821
_cell_length_c 8.6946
_cell_angle_alpha 90.00
_cell_angle_beta 92.04
_cell_angle_gamma 90.00
_space_group_name_H-M_alt 'C 1 2/m 1'
_space_group_IT_number 12
loop_
_space_group_symop_operation_xyz
'x,y,z'
'-x,-y,-z'
'-x,y,-z'
'x,-y,z'
'x+1/2,y+1/2,z'
'-x+1/2,-y+1/2,-z'
'-x+1/2,y+1/2,-z'
'x+1/2,-y+1/2,z'
loop_
_atom_site_label
_atom_site_fract_x
_atom_site_fract_y
_atom_site_fract_z
Pm1 0.0000 0.0000 0.0000
Pm2 0.2052 0.5000 0.5193
Pm3 0.2300 0.0000 0.0715
Dy1 0.0000 0.3273 0.5000
Y1 0.0572 0.5000 0.8332
Y2 0.0746 0.0000 0.3745
Y3 0.1290 0.3097 0.1666
Y4 0.1483 0.1789 0.7376

no.,DFT formation energy (eV per atom)
1,0.12
2,0.15
3,0.16
4,0.01
5,0.02
6,0.25
7,0.16
8,0.02
9,0.16
10,0.02
11,0.28
12,0.15
13,0.37
14,0.11
15,0.10
16,0.31
17,0.12